# PBE NaTaS2Cl, relaxed
# - size of the total moment (μB per cell) = 1.0
# - uncorrected formation energy (kJ per mole of atoms) = 82.0
# - calculated total energy (eV per atom) = -3.805
# - energy relative to the lowest polymorph listed for this composition (meV/atom) = 1769.2
data_NaTaS2Cl
_chemical_formula_sum 'Na1 Ta1 S2 Cl1'
_symmetry_space_group_name_H-M 'P 4/m m m'
_symmetry_Int_Tables_number 123
_symmetry_space_group_name_Hall '-P 4 2'
_cell_length_a 4.822
_cell_length_b 4.822
_cell_length_c 4.549
_cell_angle_alpha 90.00
_cell_angle_beta 90.00
_cell_angle_gamma 90.00
loop_
_atom_site_label
_atom_site_type_symbol
_atom_site_fract_x
_atom_site_fract_y
_atom_site_fract_z
Na1 Na 0.000 0.000 0.000
Ta1 Ta 0.500 0.500 0.500
S1 S 0.000 0.500 0.000
Cl1 Cl 0.000 0.000 0.500